# 1
TbHo2Ga3CuNi2: optimized geometry, GGA-PBE.

abc: 3.7225 12.3179 7.1046
angles: 90.00 90.00 90.00
Last column: nearest neighbours and their distance in Å.
Space group Amm2 (No. 38)
Symmetry-distinct sites (fractional):
Tb 0.0000 0.0000 0.0000 [2 per cell]  4 Ni 2.85, 1 Cu 2.95, 6 Ga 3.01-3.18
Ho 0.0000 0.2066 0.6201 [4 per cell]  4 Ni 2.83-2.84, 1 Cu 2.93, 4 Ga 3.00-3.16
Ga 0.5000 0.0000 0.6675 [2 per cell]  2 Cu 2.59, 2 Ni 2.71
Ga 0.5000 0.1282 0.2871 [4 per cell]  2 Cu 2.60, 2 Ni 2.67-2.70
Cu 0.0000 0.0000 0.4147 [2 per cell]  6 Ga 2.59-2.60
Ni 0.5000 0.1677 0.9135 [4 per cell]  3 Ga 2.67-2.71, 4 Ho 2.83-2.84, 2 Tb 2.85

Results
Calculated density in g/cm3: 8.96
Uncorrected energy in eV per atom: -4.79
Total magnetic moment in μB per cell: 0.00

=====

# 2
YHo2Ga3Cu2Ni: optimized geometry, GGA-PBE.

abc: 3.9854 12.0234 6.9253
angles: 90.00 90.00 90.00
Last column: nearest neighbours and their distance in Å.
Space group Amm2 (No. 38)
Symmetry-distinct sites (fractional):
Y 0.0000 0.0000 0.0000 [2 per cell]  1 Ni 2.86, 4 Cu 2.91, 6 Ga 3.16-3.17
Ho 0.0000 0.2046 0.6148 [4 per cell]  1 Ni 2.83, 4 Cu 2.88-2.89
Ga 0.5000 0.0000 0.6461 [2 per cell]  2 Ni 2.56, 2 Cu 2.73, 2 Ga 2.83
Ga 0.5000 0.1178 0.2925 [4 per cell]  2 Ni 2.58, 2 Cu 2.70-2.72, 2 Ga 2.83
Cu 0.5000 0.1685 0.9097 [4 per cell]  3 Ga 2.70-2.73, 4 Ho 2.88-2.89, 2 Y 2.91
Ni 0.0000 0.0000 0.4131 [2 per cell]  6 Ga 2.56-2.58, 2 Ho 2.83, 1 Y 2.86

Results
Calculated density in g/cm3: 8.14
Uncorrected energy in eV per atom: -4.73
Total magnetic moment in μB per cell: 0.00

=====

# 3
Ho2Ga4CuPd: optimized geometry, GGA-PBE.

abc: 6.6102 4.3444 10.0797
angles: 90.00 90.00 90.00
Last column: nearest neighbours and their distance in Å.
Space group Amm2 (No. 38)
Symmetry-distinct sites (fractional):
Ho 0.0000 0.0000 0.0000 [2 per cell]  3 Cu 2.91-3.04, 6 Ga 2.97-3.17
Ho 0.5000 0.0000 0.1684 [2 per cell]  3 Pd 2.90-3.05, 6 Ga 3.00-3.18
Ga 0.1945 0.0000 0.7122 [4 per cell]  2 Ga 2.57-2.68, 1 Pd 2.64, 2 Cu 2.64
Ga 0.2987 0.0000 0.4554 [4 per cell]  1 Cu 2.59, 2 Pd 2.66, 2 Ga 2.66-2.68
Cu 0.0000 0.0000 0.2891 [2 per cell]  6 Ga 2.59-2.64
Pd 0.5000 0.0000 0.8805 [2 per cell]  6 Ga 2.64-2.66, 1 Ho 2.90

Results
Calculated density in g/cm3: 8.93
Uncorrected energy in eV per atom: -4.43
Total magnetic moment in μB per cell: 0.01

=====

- The highest total magnetic moment belongs to which entry?
  Ho2Ga4CuPd

=====

- Number 2 is which compound?
  YHo2Ga3Cu2Ni